## YSi2Cl (GGA-PBE)

Data for an optimized crystal structure of YSi2Cl.

Cell and atoms, written as extended XYZ:
```
4
Lattice="8.523 0.032 0.019 7.648 3.762 0.019 7.648 1.794 3.307" Properties=species:S:1:pos:R:3 pbc="T T T"
Cl 18.528 4.347 2.602
Si 22.774 5.343 3.198
Y 12.207 2.864 1.714
Si 6.039 1.417 0.848
```

Output
Crystal system   trigonal
Calculated total energy   -5.63 eV/atom
ΔE to the lowest computed polymorph   0.000 eV per atom
V   26.166 Å³ per atom
E_form (uncorrected)   -0.843 eV/atom
Size of the total moment   0.0 μB per formula unit
ρ   2.9 g/cm3

=====

## PuAgPdF6 (GGA-PBE)

Data for an optimized crystal structure of PuAgPdF6.

Cell and atoms, written as extended XYZ:
```
18
Lattice="6.044 0.000 0.000 -3.022 5.235 0.000 0.000 0.000 9.622" Properties=species:S:1:pos:R:3 pbc="T T T"
Pd 0.000 0.000 0.000
F 3.861 3.392 3.611
F 1.846 3.587 6.011
F -0.839 1.842 6.011
Ag 0.000 3.490 2.406
F 2.015 0.195 1.200
F 4.868 1.648 1.200
F -1.846 3.587 8.422
F 0.839 1.842 8.422
F 1.176 1.648 3.611
F 4.029 0.195 3.611
Ag 3.022 1.745 7.217
Pu 0.000 3.490 7.217
F 1.007 5.040 8.422
Pd 0.000 0.000 4.811
F 2.183 3.392 1.200
F -1.007 5.040 6.011
Pu 3.022 1.745 2.406
```

Output
Crystal system   trigonal
Calculated total energy   -5.92 eV/atom
V   16.914 Å³ per atom
E_form (uncorrected)   -2.191 eV/atom
Size of the total moment   3.0 μB per formula unit
ρ   6.2 g/cm3

=====

- E_form (uncorrected) of number 1 (YSi2Cl)?
  -0.843 eV/atom